(1)
{
  "formula": "Pr4Ho",
  "functional": "PBE",
  "state": "relaxed",
  "vol_a3_per_atom": 35.22,
  "dos_ef_per_ev_cell": 7.63,
  "final_energy_ev_per_atom": -4.720,
  "total_magnetization_mub_per_cell": 0.0,
  "delta_e_f_ev_per_atom": 0.019,
  "sg": "I4/mmm",
  "lattice_angstrom": [[3.685, 0.000, 0.000], [0.000, 3.685, 0.000], [-1.843, -1.843, 12.966]],
  "species": ["Pr", "Pr", "Pr", "Pr", "Ho"],
  "fractional_positions": [[0.597, 0.597, 0.194], [0.199, 0.199, 0.397], [0.801, 0.801, 0.603], [0.403, 0.403, 0.806], [0.000, 0.000, 0.000]]
}

(2)
{
  "formula": "HgSb2Au2",
  "functional": "PBE",
  "state": "relaxed",
  "vol_a3_per_atom": 25.74,
  "dos_ef_per_ev_cell": 2.54,
  "final_energy_ev_per_atom": -2.938,
  "formation_energy_uncorrected_ev_per_atom": 0.082,
  "total_magnetization_mub_per_cell": 0.0,
  "sg": "I4/mmm",
  "lattice_angstrom": [[-0.747, 2.561, 3.405], [-3.963, -1.687, 0.400], [0.132, -4.413, 6.096]],
  "species": ["Sb", "Sb", "Au", "Au", "Hg"],
  "fractional_positions": [[0.382, 0.382, 0.237], [0.618, 0.618, 0.763], [0.750, 0.250, 0.500], [0.250, 0.750, 0.500], [0.000, 0.000, 0.000]]
}

(3)
{
  "formula": "Pm2SmY4Ho2",
  "functional": "PBE",
  "state": "relaxed",
  "vol_a3_per_atom": 32.68,
  "dos_ef_per_ev_cell": 12.20,
  "final_energy_ev_per_atom": -5.466,
  "total_magnetization_mub_per_cell": 0.0,
  "delta_e_f_ev_per_atom": 0.004,
  "sg": "C2/m",
  "lattice_angstrom": [[-2.842, 1.393, -1.756], [-4.216, -6.916, 5.066], [1.209, 8.330, 4.649]],
  "species": ["Pm", "Pm", "Sm", "Y", "Y", "Y", "Y", "Ho", "Ho"],
  "fractional_positions": [[0.852, 0.703, 0.333], [0.148, 0.297, 0.667], [0.000, 0.000, 0.000], [0.815, 0.630, 0.667], [0.185, 0.370, 0.333], [0.519, 0.038, 0.333], [0.481, 0.962, 0.667], [0.333, 0.666, 0.999], [0.667, 0.334, 0.001]]
}

(4)
{
  "formula": "ZrNpAl4",
  "functional": "PBE",
  "state": "relaxed",
  "vol_a3_per_atom": 18.91,
  "dos_ef_per_ev_cell": 12.94,
  "final_energy_ev_per_atom": -6.304,
  "total_magnetization_mub_per_cell": 4.7,
  "delta_e_f_ev_per_atom": -0.228,
  "sg": "F-43m",
  "lattice_angstrom": [[-0.550, 5.349, 0.779], [-4.173, 1.907, 2.912], [0.871, 2.133, 4.921]],
  "species": ["Np", "Al", "Al", "Al", "Al", "Zr"],
  "fractional_positions": [[0.250, 0.250, 0.250], [0.625, 0.625, 0.125], [0.625, 0.125, 0.625], [0.625, 0.625, 0.625], [0.125, 0.625, 0.625], [0.000, 0.000, 0.000]]
}

(5)
{
  "formula": "PrYHoTm",
  "functional": "PBE",
  "state": "relaxed",
  "vol_a3_per_atom": 32.76,
  "dos_ef_per_ev_cell": 7.13,
  "final_energy_ev_per_atom": -4.956,
  "total_magnetization_mub_per_cell": 0.0,
  "delta_e_f_ev_per_atom": 0.117,
  "sg": "F-43m",
  "lattice_angstrom": [[5.701, 0.000, 0.000], [2.851, 4.937, 0.000], [2.851, 1.646, 4.655]],
  "species": ["Pr", "Y", "Tm", "Ho"],
  "fractional_positions": [[0.250, 0.250, 0.250], [0.750, 0.750, 0.750], [0.500, 0.500, 0.500], [0.000, 0.000, 0.000]]
}

(6)
{
  "formula": "CrBAsSe2",
  "functional": "PBE",
  "state": "relaxed",
  "vol_a3_per_atom": 16.63,
  "dos_ef_per_ev_cell": 5.36,
  "final_energy_ev_per_atom": -4.508,
  "formation_energy_uncorrected_ev_per_atom": 1.075,
  "total_magnetization_mub_per_cell": 0.1,
  "sg": "P4/mmm",
  "lattice_angstrom": [[4.453, 0.000, 0.000], [0.000, 4.453, 0.000], [0.000, 0.000, 4.194]],
  "species": ["Cr", "As", "B", "Se", "Se"],
  "fractional_positions": [[0.500, 0.500, 0.500], [0.000, 0.000, 0.500], [0.000, 0.000, 0.000], [0.000, 0.500, 0.000], [0.500, 0.000, 0.000]]
}

(7)
{
  "formula": "CsRb2Sr",
  "functional": "PBE",
  "state": "relaxed",
  "vol_a3_per_atom": 83.96,
  "dos_ef_per_ev_cell": 4.22,
  "final_energy_ev_per_atom": -0.953,
  "total_magnetization_mub_per_cell": 0.0,
  "delta_e_f_ev_per_atom": 0.165,
  "sg": "R-3m",
  "lattice_angstrom": [[-1.675, -1.197, 4.207], [1.498, -3.914, 2.090], [12.938, 7.420, 9.870]],
  "species": ["Cs", "Sr", "Rb", "Rb"],
  "fractional_positions": [[0.500, 0.500, 0.500], [0.000, 0.000, 0.000], [0.082, 0.082, 0.753], [0.918, 0.918, 0.247]]
}

(8)
{
  "formula": "AcTb2Y9",
  "functional": "PBE",
  "state": "relaxed",
  "vol_a3_per_atom": 33.15,
  "dos_ef_per_ev_cell": 18.37,
  "final_energy_ev_per_atom": -5.926,
  "total_magnetization_mub_per_cell": 0.0,
  "delta_e_f_ev_per_atom": 0.036,
  "sg": "P4/mmm",
  "lattice_angstrom": [[5.095, 0.000, 0.000], [0.000, 5.095, 0.000], [0.000, 0.000, 15.322]],
  "species": ["Ac", "Tb", "Tb", "Y", "Y", "Y", "Y", "Y", "Y", "Y", "Y", "Y"],
  "fractional_positions": [[0.000, 0.000, 0.000], [0.000, 0.000, 0.336], [0.000, 0.000, 0.664], [0.500, 0.500, 0.000], [0.500, 0.500, 0.337], [0.500, 0.500, 0.663], [0.500, 0.000, 0.174], [0.500, 0.000, 0.500], [0.500, 0.000, 0.826], [0.000, 0.500, 0.174], [0.000, 0.500, 0.500], [0.000, 0.500, 0.826]]
}

(9)
{
  "formula": "Dy9Y3Tm2",
  "functional": "PBE",
  "state": "relaxed",
  "vol_a3_per_atom": 32.29,
  "dos_ef_per_ev_cell": 22.22,
  "final_energy_ev_per_atom": -4.875,
  "total_magnetization_mub_per_cell": 0.0,
  "delta_e_f_ev_per_atom": 0.108,
  "sg": "P1",
  "lattice_angstrom": [[5.724, 0.473, 2.451], [3.282, 8.067, 5.786], [2.978, 3.086, 13.000]],
  "species": ["Dy", "Dy", "Dy", "Dy", "Dy", "Dy", "Dy", "Dy", "Dy", "Y", "Y", "Y", "Tm", "Tm"],
  "fractional_positions": [[0.034, 0.492, 0.500], [0.402, 0.984, 0.704], [0.607, 0.009, 0.292], [0.693, 0.841, 0.936], [0.241, 0.134, 0.101], [0.017, 0.824, 0.504], [0.994, 0.150, 0.515], [0.819, 0.493, 0.903], [0.193, 0.509, 0.097], [0.902, 0.105, 0.929], [0.626, 0.330, 0.288], [0.408, 0.632, 0.732], [0.427, 0.338, 0.700], [0.637, 0.658, 0.300]]
}

(10)
{
  "formula": "CeHo3Te4",
  "functional": "PBE",
  "state": "relaxed",
  "vol_a3_per_atom": 29.58,
  "dos_ef_per_ev_cell": 10.10,
  "final_energy_ev_per_atom": -5.308,
  "formation_energy_uncorrected_ev_per_atom": -1.279,
  "total_magnetization_mub_per_cell": 1.2,
  "sg": "Cmmm",
  "lattice_angstrom": [[-0.074, 4.282, 0.574], [-4.590, -0.883, 5.999], [7.217, -0.195, 2.390]],
  "species": ["Ce", "Ho", "Ho", "Ho", "Te", "Te", "Te", "Te"],
  "fractional_positions": [[0.500, 0.000, 0.000], [0.000, 0.000, 0.500], [0.500, 0.500, 0.500], [0.000, 0.500, 0.000], [0.000, 0.258, 0.258], [0.500, 0.746, 0.254], [0.000, 0.742, 0.742], [0.500, 0.254, 0.746]]
}

(11)
{
  "formula": "Er4AgPd2Rh",
  "functional": "PBE",
  "state": "relaxed",
  "vol_a3_per_atom": 21.24,
  "dos_ef_per_ev_cell": 3.90,
  "final_energy_ev_per_atom": -5.638,
  "total_magnetization_mub_per_cell": 0.0,
  "delta_e_f_ev_per_atom": -0.783,
  "sg": "R-3m",
  "lattice_angstrom": [[-4.513, 1.705, -1.040], [-3.985, -2.557, 1.390], [-2.944, 3.696, 7.121]],
  "species": ["Er", "Er", "Er", "Er", "Ag", "Pd", "Pd", "Rh"],
  "fractional_positions": [[0.380, 0.380, 0.860], [0.871, 0.871, 0.387], [0.129, 0.129, 0.613], [0.620, 0.620, 0.140], [0.000, 0.000, 0.000], [0.749, 0.749, 0.752], [0.251, 0.251, 0.248], [0.500, 0.500, 0.500]]
}

(12)
{
  "formula": "HgSbMoI2",
  "functional": "PBE",
  "state": "relaxed",
  "vol_a3_per_atom": 34.13,
  "dos_ef_per_ev_cell": 4.55,
  "final_energy_ev_per_atom": -3.295,
  "formation_energy_uncorrected_ev_per_atom": 0.376,
  "total_magnetization_mub_per_cell": 1.5,
  "sg": "P4/mmm",
  "lattice_angstrom": [[-0.758, 1.480, -5.433], [-0.741, -5.460, -1.384], [-5.194, 0.487, 0.857]],
  "species": ["I", "I", "Sb", "Mo", "Hg"],
  "fractional_positions": [[0.000, 0.500, 0.000], [0.500, 0.000, 0.000], [0.000, 0.000, 0.500], [0.000, 0.000, 0.000], [0.500, 0.500, 0.500]]
}

(13)
{
  "formula": "Pm7HoRh4",
  "functional": "PBE",
  "state": "relaxed",
  "vol_a3_per_atom": 26.35,
  "dos_ef_per_ev_cell": 10.26,
  "final_energy_ev_per_atom": -5.887,
  "total_magnetization_mub_per_cell": 0.0,
  "delta_e_f_ev_per_atom": -0.284,
  "sg": "C2/m",
  "lattice_angstrom": [[-0.546, -5.563, -0.557], [6.543, -2.984, -4.934], [4.247, -3.734, 4.814]],
  "species": ["Pm", "Pm", "Pm", "Pm", "Pm", "Pm", "Pm", "Ho", "Rh", "Rh", "Rh", "Rh"],
  "fractional_positions": [[0.788, 0.877, 0.546], [0.212, 0.123, 0.454], [0.084, 0.615, 0.218], [0.916, 0.385, 0.782], [0.329, 0.625, 0.718], [0.500, 0.000, 0.000], [0.671, 0.375, 0.282], [0.000, 0.000, 0.000], [0.566, 0.217, 0.651], [0.434, 0.783, 0.349], [0.697, 0.669, 0.936], [0.303, 0.331, 0.064]]
}

(14)
{
  "formula": "KCd3Pt",
  "functional": "PBE",
  "state": "relaxed",
  "vol_a3_per_atom": 29.85,
  "dos_ef_per_ev_cell": 3.87,
  "final_energy_ev_per_atom": -2.037,
  "total_magnetization_mub_per_cell": 0.0,
  "delta_e_f_ev_per_atom": -0.060,
  "sg": "C2/m",
  "lattice_angstrom": [[-13.401, -11.903, 5.845], [-7.880, -3.220, -0.486], [7.369, 1.603, -3.979]],
  "species": ["K", "K", "Pt", "Pt", "Cd", "Cd", "Cd", "Cd", "Cd", "Cd"],
  "fractional_positions": [[0.898, 0.982, 0.018], [0.102, 0.018, 0.982], [0.423, 0.152, 0.848], [0.577, 0.848, 0.152], [0.604, 0.466, 0.534], [0.396, 0.534, 0.466], [0.278, 0.064, 0.936], [0.722, 0.936, 0.064], [0.687, 0.576, 0.424], [0.313, 0.424, 0.576]]
}

(15)
{
  "formula": "Ce2Mn2Si3",
  "functional": "PBE",
  "state": "relaxed",
  "vol_a3_per_atom": 17.84,
  "dos_ef_per_ev_cell": 16.53,
  "final_energy_ev_per_atom": -7.179,
  "formation_energy_uncorrected_ev_per_atom": -0.539,
  "total_magnetization_mub_per_cell": 8.6,
  "sg": "Cmcm",
  "lattice_angstrom": [[-1.014, -0.903, -3.954], [-6.504, -0.057, 1.681], [-0.045, 9.134, 0.135]],
  "species": ["Ce", "Ce", "Ce", "Ce", "Mn", "Mn", "Mn", "Mn", "Si", "Si", "Si", "Si", "Si", "Si"],
  "fractional_positions": [[0.159, 0.250, 0.319], [0.841, 0.750, 0.681], [0.946, 0.250, 0.892], [0.054, 0.750, 0.108], [0.694, 0.944, 0.388], [0.306, 0.056, 0.612], [0.306, 0.444, 0.612], [0.694, 0.556, 0.388], [0.221, 0.750, 0.442], [0.779, 0.250, 0.558], [0.561, 0.431, 0.123], [0.439, 0.569, 0.877], [0.439, 0.931, 0.877], [0.561, 0.069, 0.123]]
}

(16)
{
  "formula": "Tm8Sn2Ir",
  "functional": "PBE",
  "state": "relaxed",
  "vol_a3_per_atom": 27.01,
  "dos_ef_per_ev_cell": 8.70,
  "final_energy_ev_per_atom": -5.260,
  "total_magnetization_mub_per_cell": 0.0,
  "delta_e_f_ev_per_atom": -0.475,
  "sg": "C2/m",
  "lattice_angstrom": [[4.940, 0.000, 0.000], [0.000, 6.536, 0.040], [-2.470, -2.714, 9.188]],
  "species": ["Tm", "Tm", "Tm", "Tm", "Tm", "Tm", "Tm", "Tm", "Sn", "Sn", "Ir"],
  "fractional_positions": [[0.411, 0.547, 0.823], [0.645, 0.001, 0.291], [0.780, 0.677, 0.560], [0.978, 0.212, 0.956], [0.220, 0.323, 0.440], [0.355, 0.999, 0.709], [0.589, 0.453, 0.177], [0.022, 0.788, 0.044], [0.819, 0.243, 0.637], [0.181, 0.757, 0.363], [0.500, 0.000, 0.000]]
}

(17)
{
  "formula": "AcEr2Ni",
  "functional": "PBE",
  "state": "relaxed",
  "vol_a3_per_atom": 32.61,
  "dos_ef_per_ev_cell": 5.32,
  "final_energy_ev_per_atom": -4.734,
  "total_magnetization_mub_per_cell": 0.0,
  "delta_e_f_ev_per_atom": 0.020,
  "sg": "R-3m",
  "lattice_angstrom": [[3.810, 0.000, 0.000], [1.905, 3.299, 0.000], [1.905, 1.100, 10.379]],
  "species": ["Ni", "Ac", "Er", "Er"],
  "fractional_positions": [[0.500, 0.500, 0.500], [0.000, 0.000, 0.000], [0.119, 0.119, 0.643], [0.881, 0.881, 0.357]]
}

(18)
{
  "formula": "CsRbZnHSe",
  "functional": "PBE",
  "state": "relaxed",
  "vol_a3_per_atom": 32.87,
  "dos_ef_per_ev_cell": 0.97,
  "final_energy_ev_per_atom": -2.207,
  "total_magnetization_mub_per_cell": 0.0,
  "sg": "Pm",
  "lattice_angstrom": [[-4.194, 1.020, -1.010], [-0.893, -3.356, 0.318], [-2.084, 1.532, 10.313]],
  "species": ["Cs", "Rb", "Zn", "H", "Se"],
  "fractional_positions": [[0.608, 0.000, 0.755], [0.610, 0.000, 0.159], [0.124, 0.500, 0.444], [0.108, 0.500, 0.605], [0.109, 0.500, 0.971]]
}

(19)
{
  "formula": "Pr3Sm8Dy",
  "functional": "PBE",
  "state": "relaxed",
  "vol_a3_per_atom": 36.70,
  "dos_ef_per_ev_cell": 15.02,
  "final_energy_ev_per_atom": -4.438,
  "total_magnetization_mub_per_cell": 0.0,
  "delta_e_f_ev_per_atom": 0.287,
  "sg": "Immm",
  "lattice_angstrom": [[7.239, 0.482, -5.003], [-3.094, 8.149, -1.297], [-1.729, -0.482, 8.628]],
  "species": ["Pr", "Pr", "Pr", "Sm", "Sm", "Sm", "Sm", "Sm", "Sm", "Sm", "Sm", "Dy"],
  "fractional_positions": [[0.500, 0.754, 0.254], [0.500, 0.246, 0.746], [0.000, 0.500, 0.500], [0.497, 0.243, 0.255], [0.503, 0.757, 0.745], [0.012, 0.757, 0.255], [0.988, 0.243, 0.745], [0.166, 0.415, 0.249], [0.834, 0.083, 0.249], [0.834, 0.585, 0.751], [0.166, 0.917, 0.751], [0.000, 0.000, 0.000]]
}

(20)
{
  "formula": "SrSeCl",
  "functional": "PBE",
  "state": "relaxed",
  "vol_a3_per_atom": 38.42,
  "dos_ef_per_ev_cell": 2.81,
  "final_energy_ev_per_atom": -3.766,
  "formation_energy_uncorrected_ev_per_atom": -1.428,
  "total_magnetization_mub_per_cell": 1.0,
  "sg": "P3m1",
  "lattice_angstrom": [[4.316, 0.000, 0.000], [-2.158, 3.737, 0.000], [0.000, 0.000, 7.145]],
  "species": ["Cl", "Se", "Sr"],
  "fractional_positions": [[0.000, 0.000, 0.894], [0.667, 0.333, 0.414], [0.333, 0.667, 0.693]]
}